Below is a PBEsol-optimized structure of Cs3InW, with properties calculated at the meta-GGA SCAN level.

Values from the calculation:
The total energy is -41.766 eV/atom. As for the formation energy: 1535 meV per atom. The total magnetic moment is 5.24 μB/cell.

a = 6.989 Å, b = 6.989 Å, c = 6.989 Å
α = 90.00°, β = 90.00°, γ = 90.00°
Sites, in units of the cell vectors:
Cs 0.000 0.000 0.500
Cs 0.000 0.500 0.000
Cs 0.500 0.000 0.000
In 0.000 0.000 0.000
W 0.500 0.500 0.500